An optimized crystal structure of LaY2Hg, computed with GGA-PBEsol.

Cell: 5.428 5.428 3.633 Å, 90.00 90.00 90.24°
Fractional coordinates of all 4 atoms:
La1 0.000 0.000 0.000
Y1 0.000 0.500 0.500
Y2 0.500 0.000 0.500
Hg1 0.500 0.500 0.000

- Space group: Cmmm (65)
- Total energy: -5.057 eV per atom
- Crystal system: orthorhombic

---

An optimized crystal structure of LaY2Hg2, computed with GGA-PBEsol.

Cell: 7.568 7.568 7.568 Å, 144.00 144.00 51.83°
Fractional coordinates of all 5 atoms:
La1 0.000 0.000 0.000
Y1 0.381 0.381 0.000
Y2 0.619 0.619 0.000
Hg1 0.250 0.750 0.500
Hg2 0.750 0.250 0.500

- Space group: I4/mmm (139)
- Total energy: -4.169 eV per atom
- Crystal system: tetragonal

---

An optimized crystal structure of La3YHg, computed with GGA-PBEsol.

Cell: 5.863 5.863 5.863 Å, 90.00 90.00 90.00°
Fractional coordinates of all 5 atoms:
La1 0.000 0.000 0.500
La2 0.000 0.500 0.000
La3 0.500 0.000 0.000
Y1 0.500 0.500 0.500
Hg1 0.000 0.000 0.000

- Space group: Pm-3m (221)
- Total energy: -4.378 eV per atom
- Crystal system: cubic

---

An optimized crystal structure of LaYHg, computed with GGA-PBEsol.

Cell: 6.894 6.894 6.894 Å, 149.12 149.12 44.23°
Fractional coordinates of all 3 atoms:
La1 0.000 0.000 0.000
Y1 0.698 0.698 0.000
Hg1 0.332 0.332 0.000

- Space group: I4mm (107)
- Total energy: -4.606 eV per atom
- Crystal system: tetragonal

---

An optimized crystal structure of LaZnHg, computed with GGA-PBEsol.

Cell: 4.775 4.775 3.550 Å, 90.00 90.00 120.00°
Fractional coordinates of all 3 atoms:
La1 0.000 0.000 0.000
Zn1 0.333 0.667 0.500
Hg1 0.667 0.333 0.500

- Space group: P-6m2 (187)
- Total energy: -2.971 eV per atom
- Crystal system: hexagonal

---

An optimized crystal structure of LaZn2Hg2, computed with GGA-PBEsol.

Cell: 6.375 6.375 6.375 Å, 139.21 139.21 59.06°
Fractional coordinates of all 5 atoms:
La1 0.000 0.000 0.000
Zn1 0.250 0.750 0.500
Zn2 0.750 0.250 0.500
Hg1 0.376 0.376 0.000
Hg2 0.624 0.624 0.000

- Space group: I4/mmm (139)
- Total energy: -2.266 eV per atom
- Crystal system: tetragonal

---

An optimized crystal structure of La2Zn2Hg, computed with GGA-PBEsol.

Cell: 9.925 9.925 9.925 Å, 159.00 159.00 29.88°
Fractional coordinates of all 5 atoms:
La1 0.109 0.109 0.000
La2 0.891 0.891 0.000
Zn1 0.250 0.750 0.500
Zn2 0.750 0.250 0.500
Hg1 0.500 0.500 0.000

- Space group: I4/mmm (139)
- Total energy: -3.079 eV per atom
- Crystal system: tetragonal

---

An optimized crystal structure of LaZr2Hg2, computed with GGA-PBEsol.

Cell: 7.083 7.083 7.083 Å, 142.77 142.77 53.67°
Fractional coordinates of all 5 atoms:
La1 0.000 0.000 0.000
Zr1 0.388 0.388 0.000
Zr2 0.612 0.612 0.000
Hg1 0.250 0.750 0.500
Hg2 0.750 0.250 0.500

- Space group: I4/mmm (139)
- Total energy: -4.884 eV per atom
- Crystal system: tetragonal

---

An optimized crystal structure of LaZr2Hg, computed with GGA-PBEsol.

Cell: 3.269 3.269 9.122 Å, 90.00 90.00 90.00°
Fractional coordinates of all 4 atoms:
La1 0.000 0.000 0.000
Zr1 0.000 0.000 0.519
Zr2 0.500 0.500 0.291
Hg1 0.500 0.500 0.737

- Space group: P4mm (99)
- Total energy: -6.168 eV per atom
- Crystal system: tetragonal

---

An optimized crystal structure of LaZrHg2, computed with GGA-PBEsol.

Cell: 3.192 4.162 7.193 Å, 90.00 90.00 90.00°
Fractional coordinates of all 4 atoms:
La1 0.000 0.000 0.000
Zr1 0.000 0.000 0.500
Hg1 0.500 0.500 0.286
Hg2 0.500 0.500 0.714

- Space group: Pmmm (47)
- Total energy: -4.245 eV per atom
- Crystal system: orthorhombic

---

An optimized crystal structure of LaZr3Hg, computed with GGA-PBEsol.

Cell: 5.291 5.291 5.291 Å, 90.00 90.00 90.00°
Fractional coordinates of all 5 atoms:
La1 0.000 0.000 0.000
Zr1 0.000 0.500 0.500
Zr2 0.500 0.000 0.500
Zr3 0.500 0.500 0.000
Hg1 0.500 0.500 0.500

- Space group: Pm-3m (221)
- Total energy: -5.889 eV per atom
- Crystal system: cubic

---

An optimized crystal structure of LaZrHg2, computed with GGA-PBEsol.

Cell: 6.126 6.126 6.126 Å, 146.94 129.33 61.84°
Fractional coordinates of all 4 atoms:
La1 0.000 0.000 0.000
Zr1 0.265 0.765 0.500
Hg1 0.508 0.508 0.000
Hg2 0.735 0.235 0.500

- Space group: Imm2 (44)
- Total energy: -4.097 eV per atom
- Crystal system: orthorhombic

---

An optimized crystal structure of LaZr3Hg, computed with GGA-PBEsol.

Cell: 5.031 5.031 5.031 Å, 90.00 90.00 90.00°
Fractional coordinates of all 5 atoms:
La1 0.000 0.000 0.000
Zr1 0.000 0.000 0.500
Zr2 0.000 0.500 0.000
Zr3 0.500 0.000 0.000
Hg1 0.500 0.500 0.500

- Space group: Pm-3m (221)
- Total energy: -5.514 eV per atom
- Crystal system: cubic

---

An optimized crystal structure of LaZr2Hg2, computed with GGA-PBEsol.

Cell: 7.515 7.515 7.515 Å, 147.05 147.05 47.29°
Fractional coordinates of all 5 atoms:
La1 0.000 0.000 0.000
Zr1 0.250 0.750 0.500
Zr2 0.750 0.250 0.500
Hg1 0.398 0.398 0.000
Hg2 0.602 0.602 0.000

- Space group: I4/mmm (139)
- Total energy: -5.103 eV per atom
- Crystal system: tetragonal

---

An optimized crystal structure of LaZrHg2, computed with GGA-PBEsol.

Cell: 5.178 5.178 5.178 Å, 60.00 60.00 60.00°
Fractional coordinates of all 4 atoms:
La1 0.000 0.000 0.000
Zr1 0.500 0.500 0.500
Hg1 0.250 0.250 0.250
Hg2 0.750 0.750 0.750

- Space group: Fm-3m (225)
- Total energy: -4.153 eV per atom
- Crystal system: cubic

---

no.,density of states at the Fermi level (states/eV/f.u.)
1,5.437
2,6.574
3,11.674
4,3.503
5,2.255
6,3.112
7,4.523
8,5.146
9,4.042
10,3.925
11,10.140
12,4.067
13,8.006
14,8.732
15,5.375